A plane-wave DFT calculation with PBE with a Hubbard U was carried out for Co2NiAsO6 after structural relaxation.

Cell: 5.4221 5.4221 5.4221 Å, 54.41 54.41 54.41°
With the nearest neighbours (Å) after each atom.
Fractional coordinates of all 10 atoms:
Co1 0.0000 0.0000 0.0000  6 O 1.93
Co2 0.4787 0.4787 0.4787  6 O 2.02-2.23
Ni1 0.1990 0.1990 0.1990  6 O 2.02-2.20
As1 0.6820 0.6820 0.6820  6 O 1.87-1.89
O1 0.0527 0.4090 0.7919  1 As 1.87, 2 Co 1.93-2.02
O2 0.2896 0.8906 0.6147  1 As 1.89, 1 Co 1.93, 1 Ni 2.02
O3 0.4090 0.7919 0.0527  1 As 1.87, 2 Co 1.93-2.02
O4 0.6147 0.2896 0.8906  1 As 1.89, 1 Co 1.93, 1 Ni 2.02
O5 0.7919 0.0527 0.4090  1 As 1.87, 2 Co 1.93-2.02
O6 0.8906 0.6147 0.2896  1 As 1.89, 1 Co 1.93, 1 Ni 2.02

## Properties
The magnetization comes out at 4.9 μB per formula unit. As for the space group: R3 (146). The total energy is -5.8354 eV/atom. The calculation puts the density of states at the Fermi level at 0.0 states/eV/f.u.